Record 1
InPd10 after structural relaxation, computed with PBE-GGA.

Calculated values
**Calculated total energy**: -109.8 eV/cell

Cell: 4.771 4.771 29.995 Å, 90.31 90.31 47.91°
Element x y z (fractional)
In: 0.154 0.154 0.185
In: 0.846 0.846 0.815
Pd: 0.049 0.049 0.395
Pd: 0.050 0.050 0.695
Pd: 0.147 0.147 0.789
Pd: 0.150 0.150 0.485
Pd: 0.251 0.251 0.575
Pd: 0.253 0.253 0.275
Pd: 0.349 0.349 0.365
Pd: 0.351 0.351 0.665
Pd: 0.448 0.448 0.757
Pd: 0.450 0.450 0.455
Pd: 0.550 0.550 0.545
Pd: 0.552 0.552 0.243
Pd: 0.649 0.649 0.335
Pd: 0.651 0.651 0.635
Pd: 0.747 0.747 0.725
Pd: 0.749 0.749 0.425
Pd: 0.850 0.850 0.515
Pd: 0.853 0.853 0.211
Pd: 0.950 0.950 0.305
Pd: 0.951 0.951 0.605

Record 2
InPd124 after structural relaxation, computed with PBE-GGA.

Calculated values
**Calculated total energy**: -646.3 eV/cell

Cell: 13.871 13.871 13.871 Å, 60.00 60.00 60.00°
Element x y z (fractional)
In: 0.000 0.000 0.000
Pd: 0.000 0.000 0.201
Pd: 0.000 0.000 0.401
Pd: 0.000 0.000 0.599
Pd: 0.000 0.000 0.799
Pd: 0.000 0.200 0.200
Pd: 0.000 0.200 0.400
Pd: 0.000 0.200 0.600
Pd: 0.000 0.201 0.000
Pd: 0.000 0.201 0.799
Pd: 0.000 0.400 0.200
Pd: 0.000 0.400 0.400
Pd: 0.000 0.400 0.800
Pd: 0.000 0.401 0.000
Pd: 0.000 0.401 0.599
Pd: 0.000 0.599 0.000
Pd: 0.000 0.599 0.401
Pd: 0.000 0.600 0.200
Pd: 0.000 0.600 0.600
Pd: 0.000 0.600 0.800
Pd: 0.000 0.799 0.000
Pd: 0.000 0.799 0.201
Pd: 0.000 0.800 0.400
Pd: 0.000 0.800 0.600
Pd: 0.000 0.800 0.800
Pd: 0.200 0.000 0.200
Pd: 0.200 0.000 0.400
Pd: 0.200 0.000 0.600
Pd: 0.200 0.200 0.000
Pd: 0.200 0.200 0.200
Pd: 0.200 0.200 0.400
Pd: 0.200 0.200 0.600
Pd: 0.200 0.200 0.800
Pd: 0.200 0.400 0.000
Pd: 0.200 0.400 0.200
Pd: 0.200 0.400 0.400
Pd: 0.200 0.400 0.600
Pd: 0.200 0.400 0.800
Pd: 0.200 0.600 0.000
Pd: 0.200 0.600 0.200
Pd: 0.200 0.600 0.400
Pd: 0.200 0.600 0.600
Pd: 0.200 0.600 0.800
Pd: 0.200 0.800 0.200
Pd: 0.200 0.800 0.400
Pd: 0.200 0.800 0.600
Pd: 0.200 0.800 0.800
Pd: 0.201 0.000 0.000
Pd: 0.201 0.000 0.799
Pd: 0.201 0.799 0.000
Pd: 0.400 0.000 0.200
Pd: 0.400 0.000 0.400
Pd: 0.400 0.000 0.800
Pd: 0.400 0.200 0.000
Pd: 0.400 0.200 0.200
Pd: 0.400 0.200 0.400
Pd: 0.400 0.200 0.600
Pd: 0.400 0.200 0.800
Pd: 0.400 0.400 0.000
Pd: 0.400 0.400 0.200
Pd: 0.400 0.400 0.400
Pd: 0.400 0.400 0.600
Pd: 0.400 0.400 0.800
Pd: 0.400 0.600 0.200
Pd: 0.400 0.600 0.400
Pd: 0.400 0.600 0.600
Pd: 0.400 0.600 0.800
Pd: 0.400 0.800 0.000
Pd: 0.400 0.800 0.200
Pd: 0.400 0.800 0.400
Pd: 0.400 0.800 0.600
Pd: 0.400 0.800 0.800
Pd: 0.401 0.000 0.000
Pd: 0.401 0.000 0.599
Pd: 0.401 0.599 0.000
Pd: 0.599 0.000 0.000
Pd: 0.599 0.000 0.401
Pd: 0.599 0.401 0.000
Pd: 0.600 0.000 0.200
Pd: 0.600 0.000 0.600
Pd: 0.600 0.000 0.800
Pd: 0.600 0.200 0.000
Pd: 0.600 0.200 0.200
Pd: 0.600 0.200 0.400
Pd: 0.600 0.200 0.600
Pd: 0.600 0.200 0.800
Pd: 0.600 0.400 0.200
Pd: 0.600 0.400 0.400
Pd: 0.600 0.400 0.600
Pd: 0.600 0.400 0.800
Pd: 0.600 0.600 0.000
Pd: 0.600 0.600 0.200
Pd: 0.600 0.600 0.400
Pd: 0.600 0.600 0.600
Pd: 0.600 0.600 0.800
Pd: 0.600 0.800 0.000
Pd: 0.600 0.800 0.200
Pd: 0.600 0.800 0.400
Pd: 0.600 0.800 0.600
Pd: 0.600 0.800 0.800
Pd: 0.799 0.000 0.000
Pd: 0.799 0.000 0.201
Pd: 0.799 0.201 0.000
Pd: 0.800 0.000 0.400
Pd: 0.800 0.000 0.600
Pd: 0.800 0.000 0.800
Pd: 0.800 0.200 0.200
Pd: 0.800 0.200 0.400
Pd: 0.800 0.200 0.600
Pd: 0.800 0.200 0.800
Pd: 0.800 0.400 0.000
Pd: 0.800 0.400 0.200
Pd: 0.800 0.400 0.400
Pd: 0.800 0.400 0.600
Pd: 0.800 0.400 0.800
Pd: 0.800 0.600 0.000
Pd: 0.800 0.600 0.200
Pd: 0.800 0.600 0.400
Pd: 0.800 0.600 0.600
Pd: 0.800 0.600 0.800
Pd: 0.800 0.800 0.000
Pd: 0.800 0.800 0.200
Pd: 0.800 0.800 0.400
Pd: 0.800 0.800 0.600
Pd: 0.800 0.800 0.800

Record 3
InPd17 after structural relaxation, computed with PBE-GGA.

Calculated values
**Calculated total energy**: -181.3 eV/cell

Cell: 4.779 5.526 33.410 Å, 90.00 90.03 90.00°
Element x y z (fractional)
In: 0.167 0.250 0.275
In: 0.833 0.750 0.725
Pd: 0.000 0.000 0.000
Pd: 0.000 0.500 0.000
Pd: 0.001 0.001 0.796
Pd: 0.001 0.499 0.796
Pd: 0.166 0.750 0.068
Pd: 0.166 0.750 0.864
Pd: 0.167 0.250 0.068
Pd: 0.167 0.750 0.274
Pd: 0.168 0.250 0.864
Pd: 0.333 0.000 0.136
Pd: 0.333 0.500 0.136
Pd: 0.334 0.000 0.932
Pd: 0.334 0.004 0.727
Pd: 0.334 0.496 0.727
Pd: 0.334 0.500 0.932
Pd: 0.500 0.250 0.000
Pd: 0.500 0.250 0.204
Pd: 0.500 0.250 0.796
Pd: 0.500 0.750 0.000
Pd: 0.500 0.750 0.204
Pd: 0.500 0.750 0.796
Pd: 0.666 0.000 0.068
Pd: 0.666 0.500 0.068
Pd: 0.666 0.504 0.273
Pd: 0.666 0.996 0.273
Pd: 0.667 0.000 0.864
Pd: 0.667 0.500 0.864
Pd: 0.832 0.750 0.136
Pd: 0.833 0.250 0.726
Pd: 0.833 0.750 0.932
Pd: 0.834 0.250 0.136
Pd: 0.834 0.250 0.932
Pd: 0.999 0.501 0.204
Pd: 0.999 0.999 0.204

Record 4
PmIn2Pd after structural relaxation, computed with PBE-GGA.

Calculated values
**Calculated total energy**: -36.1 eV/cell
**Spin magnetization**: 0.008 μB per cell

Cell: 5.850 5.850 7.469 Å, 90.00 90.00 133.62°
Element x y z (fractional)
Pm: 0.077 0.923 0.750
Pm: 0.923 0.077 0.250
In: 0.363 0.637 0.549
In: 0.363 0.637 0.951
In: 0.637 0.363 0.049
In: 0.637 0.363 0.451
Pd: 0.207 0.793 0.250
Pd: 0.793 0.207 0.750

Record 5
PmInPd after structural relaxation, computed with PBE-GGA.

Calculated values
**Energy above the lowest structure with this stoichiometry**: 723 meV per atom
**Spin magnetization**: 0.003 μB per cell

Cell: 4.927 4.927 4.927 Å, 60.00 60.00 60.00°
Element x y z (fractional)
Pm: 0.000 0.000 0.000
In: 0.750 0.750 0.750
Pd: 0.250 0.250 0.250

Record 6
PmInPd after structural relaxation, computed with PBE-GGA.

Calculated values
**Energy above the lowest structure with this stoichiometry**: 0 meV per atom
**Spin magnetization**: 0.005 μB per cell

Cell: 7.172 4.635 8.353 Å, 90.00 90.00 90.00°
Element x y z (fractional)
Pm: 0.035 0.250 0.183
Pm: 0.465 0.750 0.683
Pm: 0.535 0.250 0.317
Pm: 0.965 0.750 0.817
In: 0.151 0.250 0.564
In: 0.349 0.750 0.064
In: 0.651 0.250 0.936
In: 0.849 0.750 0.436
Pd: 0.244 0.750 0.385
Pd: 0.256 0.250 0.885
Pd: 0.744 0.750 0.115
Pd: 0.756 0.250 0.615

Record 7
PrIn2Pd2 after structural relaxation, computed with PBE-GGA.

Calculated values
**Calculated total energy**: -23.6 eV/cell
**Spin magnetization**: 0.006 μB per cell

Cell: 6.645 6.645 6.645 Å, 141.44 141.44 55.67°
Element x y z (fractional)
Pr: 0.000 0.000 0.000
In: 0.250 0.750 0.500
In: 0.750 0.250 0.500
Pd: 0.388 0.388 0.000
Pd: 0.612 0.612 0.000

Record 8
Pr11In9Pd4 after structural relaxation, computed with PBE-GGA.

Calculated values
**Calculated total energy**: -113.2 eV/cell
**Spin magnetization**: 0.007 μB per cell

Cell: 13.614 13.614 3.850 Å, 90.00 90.00 112.72°
Element x y z (fractional)
Pr: 0.000 0.000 0.000
Pr: 0.069 0.413 0.000
Pr: 0.163 0.837 0.000
Pr: 0.308 0.308 0.000
Pr: 0.373 0.627 0.000
Pr: 0.413 0.069 0.000
Pr: 0.587 0.931 0.000
Pr: 0.627 0.373 0.000
Pr: 0.692 0.692 0.000
Pr: 0.837 0.163 0.000
Pr: 0.931 0.587 0.000
In: 0.076 0.217 0.500
In: 0.162 0.632 0.500
In: 0.217 0.076 0.500
In: 0.368 0.838 0.500
In: 0.500 0.500 0.500
In: 0.632 0.162 0.500
In: 0.783 0.924 0.500
In: 0.838 0.368 0.500
In: 0.924 0.783 0.500
Pd: 0.246 0.448 0.500
Pd: 0.448 0.246 0.500
Pd: 0.552 0.754 0.500
Pd: 0.754 0.552 0.500

Record 9
Pr2In4PdPt after structural relaxation, computed with PBE-GGA.

Calculated values
**Calculated total energy**: -37.3 eV/cell
**Spin magnetization**: 0.006 μB per cell

Cell: 4.625 7.517 5.907 Å, 90.00 112.92 90.00°
Element x y z (fractional)
Pr: 0.000 0.000 0.000
Pr: 0.154 0.500 0.306
In: 0.440 0.300 0.878
In: 0.440 0.700 0.878
In: 0.715 0.200 0.430
In: 0.715 0.800 0.430
Pd: 0.871 0.500 0.739
Pt: 0.283 0.000 0.568

Record 10
Pr2In2PdPt3 after structural relaxation, computed with PBE-GGA.

Calculated values
**Calculated total energy**: -45.4 eV/cell
**Spin magnetization**: 0.001 μB per cell

Cell: 4.660 4.660 9.322 Å, 90.00 90.00 120.00°
Element x y z (fractional)
Pr: 0.000 0.000 0.000
Pr: 0.333 0.667 0.505
In: 0.667 0.333 0.249
In: 0.667 0.333 0.751
Pd: 0.000 0.000 0.336
Pt: 0.000 0.000 0.662
Pt: 0.333 0.667 0.170
Pt: 0.333 0.667 0.838

Record 11
PrInPdPt after structural relaxation, computed with PBE-GGA.

Calculated values
**Energy above the lowest structure with this stoichiometry**: 5 meV per atom
**Spin magnetization**: 0.007 μB per cell

Cell: 4.665 4.665 9.310 Å, 90.00 90.00 120.00°
Element x y z (fractional)
Pr: 0.333 0.667 0.245
Pr: 0.667 0.333 0.755
In: 0.000 0.000 0.000
In: 0.000 0.000 0.500
Pd: 0.333 0.667 0.581
Pd: 0.667 0.333 0.419
Pt: 0.333 0.667 0.911
Pt: 0.667 0.333 0.089

Record 12
PrInPdPt after structural relaxation, computed with PBE-GGA.

Calculated values
**Energy above the lowest structure with this stoichiometry**: 4 meV per atom
**Spin magnetization**: 0.002 μB per cell

Cell: 4.664 4.664 9.301 Å, 90.00 90.00 120.00°
Element x y z (fractional)
Pr: 0.000 0.000 0.000
Pr: 0.333 0.667 0.500
In: 0.667 0.333 0.249
In: 0.667 0.333 0.751
Pd: 0.000 0.000 0.336
Pd: 0.000 0.000 0.664
Pt: 0.333 0.667 0.169
Pt: 0.333 0.667 0.831

Question: Which formula does entry 2 have?
Answer: InPd124